Entry 1:
## Tm6GeTe2S3 (PBE-GGA)

Data for crystalline Tm6GeTe2S3 at its relaxed geometry.

Cell and atoms, written as POSCAR:
```
Tm6GeTe2S3
1.0
7.005 0.011 0.000
-3.491 6.073 0.000
-1.172 -2.029 6.622
Te S Tm Ge
2 3 6 1
Direct
0.335 0.665 0.000
0.665 0.335 0.000
0.824 0.176 0.500
0.500 0.500 0.500
0.176 0.824 0.500
0.600 0.909 0.723
0.787 0.787 0.279
0.909 0.600 0.723
0.213 0.213 0.721
0.091 0.400 0.277
0.400 0.091 0.277
0.000 0.000 0.000
```

## Properties
- raw formation energy (eV per formula unit) = -18.4
- total magnetization (Bohr magnetons per cell) = 0.000
- symmetry = No. 12
- VASP energy (eV/atom) = -5.71


Entry 2:
## UGeTe2S (PBE-GGA)

Data for crystalline UGeTe2S at its relaxed geometry.

Cell and atoms, written as POSCAR:
```
UGeTe2S
1.0
4.246 0.000 0.000
0.000 4.246 0.000
0.000 0.000 14.612
S Te U Ge
2 4 2 2
Direct
0.500 0.500 0.500
0.000 0.000 0.500
0.000 0.500 0.704
0.500 0.000 0.296
0.000 0.500 0.108
0.500 0.000 0.892
0.000 0.500 0.383
0.500 0.000 0.617
0.000 0.500 0.909
0.500 0.000 0.091
```

## Properties
- raw formation energy (eV per formula unit) = -3.1
- total magnetization (Bohr magnetons per cell) = 4.032
- symmetry = No. 129
- VASP energy (eV/atom) = -5.88


Entry 3:
## VGeTeS2 (PBE-GGA)

Data for crystalline VGeTeS2 at its relaxed geometry.

Cell and atoms, written as POSCAR:
```
VGeTeS2
1.0
-0.208 0.002 5.143
-4.977 -0.307 -0.201
0.316 -5.138 0.015
Te S Ge V
1 2 1 1
Direct
0.000 0.000 0.000
0.000 0.000 0.500
0.500 0.000 0.000
0.500 0.500 0.500
0.000 0.500 0.000
```

## Properties
- raw formation energy (eV per formula unit) = 5.7
- total magnetization (Bohr magnetons per cell) = 0.345
- symmetry = No. 123
- VASP energy (eV/atom) = -3.90


Q: Among the records above, which one has the lowest VASP energy?
A: UGeTe2S